Here is a relaxed Cu2Pd8Rh crystal from Alexandria. Energies are from GGA-PBE.

DFT total energy (Ry per atom): -0.382
Volume (Å³ per cell): 162.49
DOS(E_F) (states/eV per cell): 19.49
Symmetry: C2/m
Formation energy from the elements (eV per atom): -0.01

a = 7.3069 Å, b = 7.3069 Å, c = 6.1340 Å
α = 104.46°, β = 104.46°, γ = 30.91°
Fractional positions:
Cu1 0.1379 0.1379 0.1825
Cu2 0.8621 0.8621 0.8175
Pd1 0.0438 0.0438 0.7379
Pd2 0.2272 0.2272 0.6345
Pd3 0.3196 0.3196 0.0865
Pd4 0.4094 0.4094 0.5550
Pd5 0.5906 0.5906 0.4450
Pd6 0.6804 0.6804 0.9135
Pd7 0.7728 0.7728 0.3655
Pd8 0.9562 0.9562 0.2621
Rh1 0.5000 0.5000 0.0000



Here is a relaxed CaZnF2 crystal from Alexandria. Energies are from GGA-PBE.

DFT total energy (Ry per atom): -0.288
Volume (Å³ per cell): 61.84
DOS(E_F) (states/eV per cell): 0.00
Symmetry: Fm-3m

a = 4.4388 Å, b = 4.4388 Å, c = 4.4388 Å
α = 60.00°, β = 60.00°, γ = 60.00°
Fractional positions:
Ca1 0.0000 0.0000 0.0000
Zn1 0.5000 0.5000 0.5000
F1 0.2500 0.2500 0.2500
F2 0.7500 0.7500 0.7500



Here is a relaxed Pm4Pr5Dy4 crystal from Alexandria. Energies are from GGA-PBE.

DFT total energy (Ry per atom): -0.345
Volume (Å³ per cell): 444.67
DOS(E_F) (states/eV per cell): 18.76
Symmetry: I4/m
Formation energy from the elements (eV per atom): 0.02

a = 9.6517 Å, b = 9.6517 Å, c = 9.6517 Å
α = 94.06°, β = 94.06°, γ = 149.13°
Fractional positions:
Pm1 0.0764 0.3839 0.4604
Pm2 0.3839 0.9236 0.3075
Pm3 0.6161 0.0764 0.6925
Pm4 0.9236 0.6161 0.5396
Pr1 0.0000 0.0000 0.0000
Pr2 0.3067 0.5398 0.8465
Pr3 0.4602 0.3067 0.7669
Pr4 0.5398 0.6933 0.2331
Pr5 0.6933 0.4602 0.1535
Dy1 0.1549 0.7676 0.9225
Dy2 0.2324 0.1549 0.3873
Dy3 0.7676 0.8451 0.6127
Dy4 0.8451 0.2324 0.0775



Here is a relaxed Tc2Hg3 crystal from Alexandria. Energies are from GGA-PBE.

DFT total energy (Ry per atom): -0.274
Volume (Å³ per cell): 208.52
DOS(E_F) (states/eV per cell): 5.35
Symmetry: Fdd2
Formation energy from the elements (eV per atom): 0.60

a = 7.3177 Å, b = 6.9734 Å, c = 9.5832 Å
α = 49.44°, β = 46.38°, γ = 84.19°
Fractional positions:
Tc1 0.2495 0.7505 0.3060
Tc2 0.5560 0.9440 0.4995
Tc3 0.7505 0.2495 0.6940
Tc4 0.9440 0.5560 0.0005
Hg1 0.2359 0.2599 0.9955
Hg2 0.2545 0.7413 0.0141
Hg3 0.2599 0.2359 0.5087
Hg4 0.6442 0.6442 0.3558
Hg5 0.7413 0.2545 0.9901
Hg6 0.8942 0.8942 0.6058



Here is a relaxed La4ErTl2 crystal from Alexandria. Energies are from GGA-PBE.

DFT total energy (Ry per atom): -0.306
Volume (Å³ per cell): 255.80
DOS(E_F) (states/eV per cell): 13.27
Symmetry: R-3m
Formation energy from the elements (eV per atom): -0.02

a = 9.7287 Å, b = 9.7287 Å, c = 9.7287 Å
α = 33.94°, β = 33.94°, γ = 33.94°
Fractional positions:
La1 0.1298 0.1298 0.1298
La2 0.2710 0.2710 0.2710
La3 0.7290 0.7290 0.7290
La4 0.8702 0.8702 0.8702
Er1 0.5000 0.5000 0.5000
Tl1 0.3898 0.3898 0.3898
Tl2 0.6102 0.6102 0.6102



Here is a relaxed SiAu2Cl crystal from Alexandria. Energies are from GGA-PBE.

DFT total energy (Ry per atom): -0.246
Volume (Å³ per cell): 84.11
DOS(E_F) (states/eV per cell): 2.06
Symmetry: Cmmm

a = 3.5943 Å, b = 3.5943 Å, c = 7.8765 Å
α = 90.00°, β = 90.00°, γ = 124.25°
Fractional positions:
Si1 0.0000 0.0000 0.0000
Au1 0.5000 0.5000 0.2242
Au2 0.5000 0.5000 0.7758
Cl1 0.0000 0.0000 0.5000



Here is a relaxed AlFeBr2 crystal from Alexandria. Energies are from GGA-PBE.

DFT total energy (Ry per atom): -0.264
Volume (Å³ per cell): 94.83
DOS(E_F) (states/eV per cell): 3.33
Symmetry: C2/m

a = 5.3822 Å, b = 5.3822 Å, c = 3.2734 Å
α = 90.09°, β = 90.09°, γ = 89.87°
Fractional positions:
Al1 0.0000 0.0000 0.0000
Fe1 0.5000 0.5000 0.0000
Br1 0.0000 0.5000 0.0000
Br2 0.5000 0.0000 0.0000



Here is a relaxed MgSi3Rh2 crystal from Alexandria. Energies are from GGA-PBE.

DFT total energy (Ry per atom): -0.437
Volume (Å³ per cell): 280.01
DOS(E_F) (states/eV per cell): 6.95
Symmetry: C2/m

a = 8.2780 Å, b = 8.2780 Å, c = 10.3831 Å
α = 113.10°, β = 113.10°, γ = 25.46°
Fractional positions:
Mg1 0.0000 0.0000 0.0000
Mg2 0.1600 0.1600 0.6998
Mg3 0.8400 0.8400 0.3002
Si1 0.0225 0.0225 0.3502
Si2 0.2155 0.2155 0.3850
Si3 0.3098 0.3098 0.0313
Si4 0.3817 0.3817 0.8013
Si5 0.5000 0.5000 0.5000
Si6 0.6183 0.6183 0.1987
Si7 0.6902 0.6902 0.9687
Si8 0.7845 0.7845 0.6150
Si9 0.9775 0.9775 0.6498
Rh1 0.1959 0.1959 0.1405
Rh2 0.3672 0.3672 0.5535
Rh3 0.4658 0.4658 0.1992
Rh4 0.5342 0.5342 0.8008
Rh5 0.6328 0.6328 0.4465
Rh6 0.8041 0.8041 0.8595



Here is a relaxed KPa2AlO8 crystal from Alexandria. Energies are from GGA-PBE.

DFT total energy (Ry per atom): -0.584
Volume (Å³ per cell): 176.49
DOS(E_F) (states/eV per cell): 7.35
Symmetry: P2/m

a = 4.9618 Å, b = 7.1815 Å, c = 4.9685 Å
α = 90.00°, β = 94.53°, γ = 90.00°
Fractional positions:
K1 0.0000 0.0000 0.0000
Pa1 0.5000 0.2513 0.5000
Pa2 0.5000 0.7487 0.5000
Al1 0.0000 0.5000 0.0000
O1 0.1973 0.3112 0.1956
O2 0.1973 0.6888 0.1956
O3 0.2919 0.5000 0.7069
O4 0.3310 0.0000 0.6655
O5 0.6690 0.0000 0.3345
O6 0.7081 0.5000 0.2931
O7 0.8027 0.3112 0.8044
O8 0.8027 0.6888 0.8044